The following is a PBE calculation of an optimized crystal structure of H12Os3Pd5, from Alexandria via LeMat-Bulk.

Properties
Calculated total energy ... -4.67 eV per atom
Spin magnetization ... 0.0000 μB per atom
Space-group type ... Ia-3d (230)

The structure in POSCAR format:
```
H12Os3Pd5
1.0
-5.453 5.453 5.453
5.453 -5.453 5.453
5.453 5.453 -5.453
H Os Pd
48 12 20
Direct
0.070 0.237 0.151
0.070 0.332 0.918
0.082 0.651 0.414
0.082 0.930 0.668
0.086 0.737 0.668
0.086 0.849 0.418
0.151 0.070 0.237
0.151 0.582 0.914
0.168 0.237 0.586
0.168 0.430 0.582
0.237 0.151 0.070
0.237 0.586 0.168
0.263 0.332 0.914
0.263 0.430 0.349
0.332 0.914 0.263
0.332 0.918 0.070
0.349 0.263 0.430
0.349 0.586 0.918
0.414 0.082 0.651
0.414 0.832 0.763
0.418 0.086 0.849
0.418 0.832 0.570
0.430 0.349 0.263
0.430 0.582 0.168
0.570 0.418 0.832
0.570 0.651 0.737
0.582 0.168 0.430
0.582 0.914 0.151
0.586 0.168 0.237
0.586 0.918 0.349
0.651 0.414 0.082
0.651 0.737 0.570
0.668 0.082 0.930
0.668 0.086 0.737
0.737 0.570 0.651
0.737 0.668 0.086
0.763 0.414 0.832
0.763 0.849 0.930
0.832 0.570 0.418
0.832 0.763 0.414
0.849 0.418 0.086
0.849 0.930 0.763
0.914 0.151 0.582
0.914 0.263 0.332
0.918 0.070 0.332
0.918 0.349 0.586
0.930 0.668 0.082
0.930 0.763 0.849
0.125 0.250 0.375
0.125 0.375 0.750
0.250 0.375 0.125
0.250 0.875 0.625
0.375 0.125 0.250
0.375 0.750 0.125
0.625 0.250 0.875
0.625 0.875 0.750
0.750 0.125 0.375
0.750 0.625 0.875
0.875 0.625 0.250
0.875 0.750 0.625
0.000 0.000 0.000
0.000 0.000 0.500
0.000 0.500 0.000
0.000 0.500 0.500
0.125 0.750 0.875
0.125 0.875 0.250
0.250 0.125 0.875
0.250 0.625 0.375
0.375 0.250 0.625
0.375 0.625 0.750
0.500 0.000 0.000
0.500 0.000 0.500
0.500 0.500 0.000
0.500 0.500 0.500
0.625 0.375 0.250
0.625 0.750 0.375
0.750 0.375 0.625
0.750 0.875 0.125
0.875 0.125 0.750
0.875 0.250 0.125
```

The following is a PBE calculation of an optimized crystal structure of MgIrC3, from Alexandria via LeMat-Bulk.

Properties
Excess energy over the best structure of this formula in the dataset ... 1.416 eV/atom
E_form ... 16.46 eV/f.u.
Spin magnetization ... 0.0000 μB per atom
Space-group type ... Pm-3m (221)

The structure in POSCAR format:
```
MgIrC3
1.0
3.951 0.000 0.000
0.000 3.951 0.000
0.000 0.000 3.951
Mg Ir C
1 1 3
Direct
0.000 0.000 0.000
0.500 0.500 0.500
0.000 0.000 0.500
0.000 0.500 0.000
0.500 0.000 0.000
```

The following is a PBE calculation of an optimized crystal structure of TlCd2Cu, from Alexandria via LeMat-Bulk.

Properties
Excess energy over the best structure of this formula in the dataset ... 0.087 eV/atom
E_form ... 0.70 eV/f.u.
Spin magnetization ... 0.0000 μB per atom
Space-group type ... P2/m (10)

The structure in POSCAR format:
```
TlCd2Cu
1.0
3.444 0.000 0.000
0.000 4.836 0.000
-1.303 0.000 5.353
Tl Cd Cu
1 2 1
Direct
0.000 0.000 0.000
0.339 0.500 0.724
0.661 0.500 0.276
0.000 0.000 0.500
```